Co6O7F5: relaxed, GGA+U.

a = 4.578 Å, b = 5.470 Å, c = 7.490 Å
α = 85.44°, β = 86.17°, γ = 85.08°
Element x y z (fractional)
Co 0.000 0.000 0.000
Co 0.007 0.659 0.348
Co 0.507 0.503 0.013
Co 0.540 0.842 0.686
Co 0.573 0.200 0.353
Co 0.984 0.341 0.684
O 0.316 0.463 0.246
O 0.326 0.806 0.909
O 0.707 0.209 0.108
O 0.713 0.543 0.785
O 0.713 0.873 0.452
O 0.826 0.060 0.777
O 0.826 0.378 0.462
F 0.183 0.952 0.236
F 0.202 0.312 0.895
F 0.207 0.618 0.592
F 0.308 0.137 0.579
F 0.810 0.698 0.112

## Properties
space group	No. 1
V	185.95	Å³/cell
polymorph energy (0 for the lowest one)	23	meV per atom
E_tot	-5.345	eV per atom